# Al2CoW

A relaxed structure of Al2CoW (GGA-PBE, Alexandria).

The structure in CIF format:
```
data_Al2CoW
_space_group_name_H-M_alt 'I m m m'
_space_group_IT_number 71
_space_group_name_Hall '-I 2 2'
_cell_length_a 2.765
_cell_length_b 4.624
_cell_length_c 8.693
_cell_angle_alpha 90.00
_cell_angle_beta 90.00
_cell_angle_gamma 90.00
loop_
_atom_site_label
_atom_site_fract_x
_atom_site_fract_y
_atom_site_fract_z
Al1 0.000 0.000 0.226
Co1 0.000 0.500 0.500
W1 0.000 0.500 0.000
```

For the formation enthalpy at 0 K, the calculation gives -0.089 eV/atom. For the total energy, the calculation gives -0.2563 Ha/atom. The total magnetization comes out at 0.0019 μB/atom. Its polymorph energy (0 for the lowest one) is 167 meV/atom.

# AlCoW3

A relaxed structure of AlCoW3 (GGA-PBE, Alexandria).

The structure in CIF format:
```
data_AlCoW3
_space_group_name_H-M_alt 'P m -3 m'
_space_group_IT_number 221
_space_group_name_Hall '-P 4 2 3'
_cell_length_a 4.457
_cell_length_b 4.457
_cell_length_c 4.457
_cell_angle_alpha 90.00
_cell_angle_beta 90.00
_cell_angle_gamma 90.00
loop_
_atom_site_label
_atom_site_fract_x
_atom_site_fract_y
_atom_site_fract_z
Al1 0.000 0.000 0.000
Co1 0.500 0.500 0.500
W1 0.000 0.500 0.500
```

For the formation enthalpy at 0 K, the calculation gives 1.270 eV/atom. For the total energy, the calculation gives -0.3187 Ha/atom. The total magnetization comes out at 0.0000 μB/atom. Its polymorph energy (0 for the lowest one) is 0 meV/atom.